Record 1
! Sm2Nb2N5 PBE-GGA relaxed; values from VASP
! E_form (uncorrected) (eV/atom): -1.14
! Relative energy among the computed polymorphs (meV per atom): 27.0
! SG: C2/m (12)
&SYSTEM
  ibrav = 0, nat = 9, ntyp = 3
/
ATOMIC_SPECIES
N 14.01 N.upf
Nb 92.91 Nb.upf
Sm 150.36 Sm.upf
ATOMIC_POSITIONS angstrom
N 0.0000 3.8240 -0.0491
N 2.1089 3.1155 1.9921
N 2.1089 0.1778 4.9126
N 0.0000 0.8862 2.8715
N 0.0000 0.0000 0.0000
Nb 0.0000 0.3064 4.7036
Nb 2.1089 3.6954 0.1599
Sm 0.0000 3.2853 3.2488
Sm 2.1089 0.7165 1.6147
CELL_PARAMETERS angstrom
4.2178 0.0000 0.0000
-2.1089 5.6164 -0.7708
0.0000 -1.6146 5.6343

---

Record 2
! Tb2PmPb PBE-GGA relaxed; values from VASP
! DFT formation energy (eV/atom): 0.0444
! Relative energy among the computed polymorphs (meV per atom): 347.9
! SG: R-3m (166)
&SYSTEM
  ibrav = 0, nat = 4, ntyp = 3
/
ATOMIC_SPECIES
Pm 145.00 Pm.upf
Tb 158.93 Tb.upf
Pb 207.20 Pb.upf
ATOMIC_POSITIONS angstrom
Pm 3.5629 2.0570 6.0682
Tb 5.3443 3.0855 3.1826
Tb 1.7814 1.0285 8.9539
Pb 0.0000 0.0000 0.0000
CELL_PARAMETERS angstrom
3.5629 0.0000 0.0000
1.7814 3.0855 0.0000
1.7814 1.0285 12.1364

---

Record 3
! Pu4Ge2Au5 PBE-GGA relaxed; values from VASP
! DFT formation energy (eV/atom): -0.3831
! Relative energy among the computed polymorphs (meV per atom): 0.0
! SG: P2/m (10)
&SYSTEM
  ibrav = 0, nat = 11, ntyp = 3
/
ATOMIC_SPECIES
Au 196.97 Au.upf
Pu 244.00 Pu.upf
Ge 72.64 Ge.upf
ATOMIC_POSITIONS angstrom
Au 4.6181 -7.8350 -3.5471
Au -0.3579 -1.6675 -3.2908
Au 1.6513 -3.8151 -2.8571
Au 0.6580 -1.1948 -0.6285
Au 3.6248 -5.2147 -1.3185
Pu 1.6193 -7.0893 -2.7463
Pu 3.5943 -6.8157 1.4178
Pu -1.1703 -4.5778 -4.0854
Pu 0.8047 -4.3042 0.0787
Ge 1.5485 -5.1929 -5.2113
Ge 3.7276 -3.8369 1.0357
CELL_PARAMETERS angstrom
-2.8521 -2.3638 1.5080
-0.7159 -3.3351 -6.5817
5.9919 -5.6947 2.4061

---

Record 4
! TlSbOs2 PBE-GGA relaxed; values from VASP
! E_form (uncorrected) (eV/atom): 1.17
! Relative energy among the computed polymorphs (meV per atom): 697.5
! SG: F-43m (216)
&SYSTEM
  ibrav = 0, nat = 4, ntyp = 3
/
ATOMIC_SPECIES
Os 190.23 Os.upf
Sb 121.76 Sb.upf
Tl 204.38 Tl.upf
ATOMIC_POSITIONS angstrom
Os 0.0000 0.0000 0.0000
Os -2.4315 -0.3892 1.5215
Sb -4.8629 -0.7784 3.0430
Tl -7.2944 -1.1677 4.5645
CELL_PARAMETERS angstrom
-2.8542 1.8839 3.2630
-4.6734 -0.6459 -0.2913
-2.1983 -2.7948 3.1143

---

Record 5
! Ta2Ni2Rh PBE-GGA relaxed; values from VASP
! DFT formation energy (eV/atom): -0.3598
! Relative energy among the computed polymorphs (meV per atom): 0.0
! SG: P4/mbm (127)
&SYSTEM
  ibrav = 0, nat = 10, ntyp = 3
/
ATOMIC_SPECIES
Ni 58.69 Ni.upf
Rh 102.91 Rh.upf
Ta 180.95 Ta.upf
ATOMIC_POSITIONS angstrom
Ni 5.9243 4.2296 0.0000
Ni 4.2296 0.8449 0.0000
Ni 2.5397 5.9243 0.0000
Ni 0.8449 2.5397 0.0000
Rh 3.3846 3.3846 0.0000
Rh 0.0000 0.0000 0.0000
Ta 2.1932 1.1915 1.5709
Ta 5.5778 2.1932 1.5709
Ta 4.5761 5.5778 1.5709
Ta 1.1915 4.5761 1.5709
CELL_PARAMETERS angstrom
6.7693 0.0000 0.0000
0.0000 6.7693 0.0000
0.0000 0.0000 3.1417

---

Record 6
! Ac2RhSe PBE-GGA relaxed; values from VASP
! E_form (uncorrected) (eV/atom): -1.26
! Relative energy among the computed polymorphs (meV per atom): 0.0
! SG: R-3m (166)
&SYSTEM
  ibrav = 0, nat = 4, ntyp = 3
/
ATOMIC_SPECIES
Se 78.96 Se.upf
Ac 227.00 Ac.upf
Rh 102.91 Rh.upf
ATOMIC_POSITIONS angstrom
Se 0.0000 0.0000 0.0000
Ac 2.1342 1.0162 9.0244
Ac 0.9313 0.2660 3.1237
Rh 1.5327 0.6411 6.0741
CELL_PARAMETERS angstrom
-0.4298 3.2271 2.8495
-2.1563 -0.6490 3.6943
5.6515 -1.2959 5.6044

---

Record 7
! Mg3AlAg2 PBE-GGA relaxed; values from VASP
! DFT formation energy (eV/atom): -0.1479
! SG: P4/mmm (123)
&SYSTEM
  ibrav = 0, nat = 6, ntyp = 3
/
ATOMIC_SPECIES
Mg 24.30 Mg.upf
Al 26.98 Al.upf
Ag 107.87 Ag.upf
ATOMIC_POSITIONS angstrom
Mg 0.0000 0.0000 6.6245
Mg 0.0000 0.0000 0.0000
Mg 0.0000 0.0000 3.2432
Al 1.6895 1.6895 4.9339
Ag 1.6895 1.6895 1.6535
Ag 1.6895 1.6895 8.2142
CELL_PARAMETERS angstrom
3.3790 0.0000 0.0000
0.0000 3.3790 0.0000
0.0000 0.0000 9.8677

---

Record 8
! Pr3Tm2Tl2 PBE-GGA relaxed; values from VASP
! DFT formation energy (eV/atom): -0.1799
! SG: C2/m (12)
&SYSTEM
  ibrav = 0, nat = 7, ntyp = 3
/
ATOMIC_SPECIES
Tm 168.93 Tm.upf
Pr 140.91 Pr.upf
Tl 204.38 Tl.upf
ATOMIC_POSITIONS angstrom
Tm 2.7761 3.3381 2.0995
Tm 0.0000 -1.2431 5.9081
Pr 2.7761 0.0000 0.0000
Pr 0.0000 1.8597 4.1642
Pr 2.7761 0.2352 3.8435
Tl 2.7761 0.4291 7.0110
Tl 0.0000 1.6658 0.9967
CELL_PARAMETERS angstrom
5.5523 0.0000 0.0000
-2.7761 4.7963 -0.2979
0.0000 -2.7014 8.3055